La2AlCd | PBE | optimized geometry

a b c (Å): 10.010 3.698 6.907
angles (deg): 90.00 101.55 90.00
Space group C2/m (No. 12)
Unique sites:
La (0.244, 0.000, 0.232) x4
Al (0.000, 0.500, 0.000) x2
Cd (0.000, 0.000, 0.500) x2

Calculated values
Final energy = -3.7293 eV/atom
D(E_F) = 3.82 states/eV/f.u.
Total moment = 0.00 μB per formula unit
Calculated volume = 31.3 Å³/atom
E_form = -10 kJ/mol of atoms



La3AlCd2 | PBE | optimized geometry

a b c (Å): 3.842 3.842 11.953
angles (deg): 90.00 90.00 90.00
Space group P4/mmm (No. 123)
Unique sites:
La (0.000, 0.000, 0.000) x1
La (0.000, 0.000, 0.345) x2
Al (0.500, 0.500, 0.500) x1
Cd (0.500, 0.500, 0.171) x2

Calculated values
Final energy = -3.7339 eV/atom
Relative energy among the computed polymorphs = 0 meV/atom
D(E_F) = 5.82 states/eV/f.u.
Total moment = 0.35 μB per formula unit
Calculated volume = 29.4 Å³/atom
E_form = -33 kJ/mol of atoms



LaAlCd3 | PBE | optimized geometry

a b c (Å): 6.113 6.113 6.113
angles (deg): 90.00 90.00 90.00
Space group Pm-3m (No. 221)
Unique sites:
La (0.000, 0.000, 0.000) x1
Al (0.500, 0.500, 0.500) x1
Cd (0.000, 0.000, 0.500) x3

Calculated values
Final energy = -1.3191 eV/atom
Relative energy among the computed polymorphs = 897 meV/atom
D(E_F) = 6.70 states/eV/f.u.
Total moment = 1.71 μB per formula unit
Calculated volume = 45.7 Å³/atom
E_form = 93 kJ/mol of atoms



La3Al2Cd | PBE | optimized geometry

a b c (Å): 3.771 3.771 11.984
angles (deg): 90.00 90.00 90.00
Space group P4/mmm (No. 123)
Unique sites:
La (0.000, 0.000, 0.000) x1
La (0.000, 0.000, 0.320) x2
Al (0.500, 0.500, 0.164) x2
Cd (0.500, 0.500, 0.500) x1

Calculated values
Final energy = -4.2161 eV/atom
Relative energy among the computed polymorphs = 0 meV/atom
D(E_F) = 4.24 states/eV/f.u.
Total moment = 0.00 μB per formula unit
Calculated volume = 28.4 Å³/atom
E_form = -34 kJ/mol of atoms



La2Al7Cd | PBE | optimized geometry

a b c (Å): 4.408 4.408 11.219
angles (deg): 90.00 90.00 90.00
Space group P-4m2 (No. 115)
Unique sites:
La (0.000, 0.500, 0.245) x2
Al (0.000, 0.000, 0.000) x1
Al (0.000, 0.500, 0.640) x2
Al (0.000, 0.500, 0.867) x2
Al (0.500, 0.500, 0.000) x1
Al (0.500, 0.500, 0.500) x1
Cd (0.000, 0.000, 0.500) x1

Calculated values
Final energy = -4.0465 eV/atom
D(E_F) = 3.71 states/eV/f.u.
Total moment = 0.00 μB per formula unit
Calculated volume = 21.8 Å³/atom
E_form = -34 kJ/mol of atoms



La12AlCd6 | PBE | optimized geometry

a b c (Å): 11.6783 11.6783 14.8900
angles (deg): 90.00 90.00 120.00
Space group R-3 (No. 148, hexagonal axes)
Unique sites:
La (0.0374, 0.8424, 0.3158) x18
La (0.0695, 0.2147, 0.9029) x18
Al (0.0000, 0.0000, 0.5000) x3
Cd (0.0458, 0.5945, 0.2030) x18

Calculated values
Final energy = -3.7566 eV/atom
D(E_F) = 22.90 states/eV/f.u.
Total moment = 0.00 μB per formula unit
Calculated volume = 30.9 Å³/atom
E_form = -15 kJ/mol of atoms



> E_form of number 2 (La3AlCd2)?

-33 kJ/mol of atoms



> Number 5 is which compound?

La2Al7Cd



> Look up the D(E_F) of the second one.

5.82 states/eV/f.u.



Repeat the sixth record exactly.
La12AlCd6 | PBE | optimized geometry

a b c (Å): 11.6783 11.6783 14.8900
angles (deg): 90.00 90.00 120.00
Space group R-3 (No. 148, hexagonal axes)
Unique sites:
La (0.0374, 0.8424, 0.3158) x18
La (0.0695, 0.2147, 0.9029) x18
Al (0.0000, 0.0000, 0.5000) x3
Cd (0.0458, 0.5945, 0.2030) x18

Calculated values
Final energy = -3.7566 eV/atom
D(E_F) = 22.90 states/eV/f.u.
Total moment = 0.00 μB per formula unit
Calculated volume = 30.9 Å³/atom
E_form = -15 kJ/mol of atoms